ReHg3P: optimized geometry, PBE.

The formation energy from the elements is 1431 meV/atom.

The structure belongs to space group Pm-3m (No. 221); the cell edges are 5.364, 5.364 and 5.364 Å and the angles 90.00°, 90.00° and 90.00°. The inequivalent atoms are Re at (0.000, 0.000, 0.000), Hg at (0.000, 0.000, 0.500) and P at (0.500, 0.500, 0.500).

SrCeGaGe: optimized geometry, PBE.

The formation energy from the elements is -407 meV/atom.

The structure belongs to space group F-43m (No. 216); the cell edges are 7.480, 7.480 and 7.480 Å and the angles 90.00°, 90.00° and 90.00°. The inequivalent atoms are Sr at (0.000, 0.000, 0.000), Ce at (0.000, 0.000, 0.500), Ga at (0.250, 0.250, 0.250) and Ge at (0.250, 0.250, 0.750).

IrAuF2: optimized geometry, PBE.

The value obtained for the uncorrected formation energy is -0.102 eV per atom.

The structure belongs to space group R-3m (No. 166, hexagonal axes); the cell edges are 2.7931, 2.7931 and 25.0268 Å and the angles 90.00°, 90.00° and 120.00°. The inequivalent atoms are Ir at (0.0000, 0.0000, 0.0000), Au at (0.0000, 0.0000, 0.5000) and F at (0.0000, 0.0000, 0.4162).

YMgAg: optimized geometry, PBE.

The formation energy from the elements is -192 meV/atom.

The structure belongs to space group I4mm (No. 107); the cell edges are 3.501, 3.501 and 11.564 Å and the angles 90.00°, 90.00° and 90.00°. The inequivalent atoms are Y at (0.000, 0.000, 0.000), Mg at (0.000, 0.000, 0.299) and Ag at (0.000, 0.000, 0.669).

NaLaMg2Sn2: optimized geometry, PBE.

The formation energy from the elements is -453 meV/atom.

The structure belongs to space group P-3m1 (No. 164); the cell edges are 4.9208, 4.9208 and 7.5811 Å and the angles 90.00°, 90.00° and 120.00°. The inequivalent atoms are Na at (0.0000, 0.0000, 0.0000), La at (0.0000, 0.0000, 0.5000), Mg at (0.3333, 0.6667, 0.1722) and Sn at (0.3333, 0.6667, 0.7427).

Ta2CrAg: optimized geometry, PBE.

The formation energy from the elements is 447 meV/atom.

The structure belongs to space group Cm (No. 8); the cell edges are 9.556, 2.780 and 5.053 Å and the angles 90.00°, 98.92° and 90.00°. The inequivalent atoms are Ta at (0.000, 0.000, 0.000), Ta at (0.240, 0.000, 0.713), Cr at (0.249, 0.500, 0.212) and Ag at (0.488, 0.000, 0.483).

ScAlCo2Br: optimized geometry, PBE.

The value obtained for the uncorrected formation energy is 0.612 eV per atom.

The structure belongs to space group P4/mmm (No. 123); the cell edges are 4.407, 4.407 and 5.343 Å and the angles 90.00°, 90.00° and 90.00°. The inequivalent atoms are Sc at (0.000, 0.000, 0.000), Al at (0.000, 0.000, 0.500), Co at (0.000, 0.500, 0.500) and Br at (0.500, 0.500, 0.000).

Nb2CoCu: optimized geometry, PBE.

The formation energy from the elements is 476 meV/atom.

The structure belongs to space group R-3m (No. 166, hexagonal axes); the cell edges are 2.7512, 2.7512 and 29.2091 Å and the angles 90.00°, 90.00° and 120.00°. The inequivalent atoms are Nb at (0.0000, 0.0000, 0.0924), Co at (0.0000, 0.0000, 0.5000) and Cu at (0.0000, 0.0000, 0.0000).

KWS4: optimized geometry, PBE.

The value obtained for the uncorrected formation energy is -0.580 eV per atom.

The structure belongs to space group C2/m (No. 12); the cell edges are 11.793, 8.495 and 6.773 Å and the angles 90.00°, 100.23° and 90.00°. The inequivalent atoms are K at (0.181, 0.000, 0.272), W at (0.077, 0.500, 0.191), S at (0.000, 0.285, 0.000), S at (0.085, 0.310, 0.479) and S at (0.242, 0.000, 0.820).

Sm3Y: optimized geometry, PBE.

The formation energy from the elements is 14 meV/atom.

The structure belongs to space group P2/m (No. 10); the cell edges are 3.618, 5.105 and 7.224 Å and the angles 90.00°, 90.07° and 90.00°. The inequivalent atoms are Sm at (0.000, 0.000, 0.000), Sm at (0.500, 0.500, 0.250) and Y at (0.000, 0.000, 0.500).

Pm3Sm5Er3: optimized geometry, PBE.

The formation energy from the elements is 332 meV/atom.

The structure belongs to space group P-62m (No. 189); the cell edges are 11.2840, 11.2840 and 3.4561 Å and the angles 90.00°, 90.00° and 120.00°. The inequivalent atoms are Pm at (0.0000, 0.5965, 0.0000), Sm at (0.0000, 0.3377, 0.5000), Sm at (0.3333, 0.6667, 0.5000) and Er at (0.0000, 0.8409, 0.5000).

Na5As: optimized geometry, PBE.

The formation energy from the elements is -170 meV/atom.

The structure belongs to space group Cmmm (No. 65); the cell edges are 4.842, 14.226 and 4.894 Å and the angles 90.00°, 90.00° and 90.00°. The inequivalent atoms are Na at (0.000, 0.000, 0.000), Na at (0.000, 0.143, 0.500), Na at (0.000, 0.355, 0.000) and As at (0.000, 0.500, 0.500).